Entry 1:
## CaSc2Hg4 (GGA-PBE)

Data for an optimized crystal structure of CaSc2Hg4.

abc: 4.9583 4.9583 8.8012
angles: 73.64 73.64 60.00
Last column: nearest neighbours and their distance in Å.
Positions (direct):
1 Sc 0.7561 0.7561 0.7318  7 Hg 2.91-3.02
2 Sc 0.2439 0.2439 0.2682  7 Hg 2.91-3.02
3 Ca 0.0000 0.0000 0.0000  8 Hg 3.18-3.20
4 Hg 0.8724 0.8724 0.3827  4 Sc 2.91-3.02, 1 Ca 3.18
5 Hg 0.1276 0.1276 0.6173  4 Sc 2.91-3.02, 1 Ca 3.18
6 Hg 0.6091 0.6091 0.1728  3 Sc 2.97, 3 Ca 3.20
7 Hg 0.3909 0.3909 0.8272  3 Sc 2.97, 3 Ca 3.20

Computed properties:
Space group: R-3m
Total magnetic moment, μB/cell: 0.0
Energy of formation, meV/atom: -261
E_tot, Ry/atom: -0.1858


Entry 2:
## PmDy2Th (GGA-PBE)

Data for an optimized crystal structure of PmDy2Th.

abc: 3.5892 3.5892 11.7540
angles: 81.22 81.22 60.00
Last column: nearest neighbours and their distance in Å.
Positions (direct):
1 Pm 0.5000 0.5000 0.5000  6 Pm 3.59, 6 Dy 3.62
2 Dy 0.7479 0.7479 0.7564  3 Th 3.50, 6 Dy 3.59, 3 Pm 3.62
3 Dy 0.2521 0.2521 0.2436  3 Th 3.50, 6 Dy 3.59, 3 Pm 3.62
4 Th 0.0000 0.0000 0.0000  6 Dy 3.50, 6 Th 3.59

Computed properties:
Space group: R-3m
Total magnetic moment, μB/cell: 0.0
Energy of formation, meV/atom: 15
Energy above the lowest structure with this stoichiometry, meV/atom: 23
E_tot, Ry/atom: -0.3916


Entry 3:
## ZrTc3P2 (GGA-PBE)

Data for an optimized crystal structure of ZrTc3P2.

abc: 3.9819 7.9913 9.3471
angles: 105.76 90.00 104.43
Last column: nearest neighbours and their distance in Å.
Positions (direct):
1 Zr 0.1642 0.3285 0.7090  8 Tc 2.96-3.29, 6 P 2.99-3.03
2 Zr 0.8358 0.6715 0.2910  8 Tc 2.96-3.29, 6 P 2.99-3.03
3 Zr 0.0000 0.0000 0.0000  6 P 2.91-2.99, 6 Tc 2.93-3.22
4 Tc 0.0341 0.0681 0.3556  4 P 2.52-2.64, 3 Tc 2.54-2.65
5 Tc 0.9659 0.9319 0.6444  4 P 2.52-2.64, 3 Tc 2.54-2.65
6 Tc 0.2100 0.4200 0.3891  4 P 2.28-2.39
7 Tc 0.7900 0.5800 0.6109  4 P 2.28-2.39
8 Tc 0.6142 0.2285 0.1948  4 P 2.38-2.49, 1 Tc 2.61
9 Tc 0.3858 0.7715 0.8052  4 P 2.38-2.49, 1 Tc 2.61
10 Tc 0.5000 0.0000 0.5000  4 P 2.40-2.62, 4 Tc 2.54
11 Tc 0.3185 0.6369 0.0319  4 P 2.32-2.49
12 Tc 0.6815 0.3631 0.9681  4 P 2.32-2.49
13 P 0.1938 0.3875 0.1326  6 Tc 2.34-2.49
14 P 0.8062 0.6125 0.8674  6 Tc 2.34-2.49
15 P 0.4578 0.9155 0.2088  4 Tc 2.32-2.52
16 P 0.5422 0.0845 0.7912  4 Tc 2.32-2.52
17 P 0.3541 0.7081 0.5412  5 Tc 2.28-2.40
18 P 0.6459 0.2919 0.4588  5 Tc 2.28-2.40

Computed properties:
Space group: C2/m
Total magnetic moment, μB/cell: 0.0
Energy of formation, meV/atom: -573
E_tot, Ry/atom: -0.6603


Entry 4:
## DySn2Hg (GGA-PBE)

Data for an optimized crystal structure of DySn2Hg.

abc: 4.4749 4.7305 4.7305
angles: 90.00 90.00 90.00
Last column: nearest neighbours and their distance in Å.
Positions (direct):
1 Hg 0.5000 0.0000 0.0000  8 Sn 3.26, 4 Dy 3.34
2 Sn 0.0000 0.0000 0.5000  4 Hg 3.26, 4 Dy 3.26, 4 Sn 3.34
3 Sn 0.0000 0.5000 0.0000  4 Hg 3.26, 4 Dy 3.26, 4 Sn 3.34
4 Dy 0.5000 0.5000 0.5000  8 Sn 3.26, 4 Hg 3.34

Computed properties:
Space group: P4/mmm
Total magnetic moment, μB/cell: 0.0
Energy of formation, meV/atom: -434
E_tot, Ry/atom: -0.2691